{"formula": "Ni2PtF", "functional": "GGA+U", "state": "relaxed", "lattice": [[-4.907, 3.403, -1.247], [-2.935, -4.963, -1.993], [-4.975, -1.277, 1.172]], "species": ["Ni", "Ni", "Ni", "Ni", "Pt", "Pt", "F", "F"], "fractional_positions": [[0.568, 0.125, 0.250], [0.182, 0.625, 0.250], [0.375, 0.432, 0.750], [0.875, 0.818, 0.750], [0.000, 0.000, 0.000], [0.750, 0.250, 0.500], [0.500, 0.500, 0.000], [0.250, 0.750, 0.500]], "m_tot_mub_per_cell": 6.7, "e_above_lowest_polymorph_mev_per_atom": 0.0, "dos_ef_per_ev_fu": 1.56, "spacegroup": "I-42d, No. 122"}